CrPtW2 after structural relaxation. Source: Alexandria, functional PBE.

Computed properties:
DOS at the Fermi energy = 1.10 states/eV/atom
ΔH_f (0 K) = 7 kJ/mol of atoms

abc: 3.9077 3.9077 7.8705
angles: 90.00 90.00 90.00
Closest atoms and distances in Å follow each position.
Space group I-4m2 (No. 119)
Symmetry-distinct sites (fractional):
Cr1 0.0000 0.0000 0.0000  8 W 2.76-2.77, 4 Pt 2.77
Pt1 0.0000 0.5000 0.2500  8 W 2.76-2.77, 4 Cr 2.77
W1 0.0000 0.0000 0.5000  4 Cr 2.76, 4 W 2.77, 4 Pt 2.77
W2 0.0000 0.5000 0.7500  4 Pt 2.76, 4 Cr 2.77, 4 W 2.77


CaScPa2N4 after structural relaxation. Source: Alexandria, functional PBE.

Computed properties:
formation energy without anion corrections = -1179 kJ/mol of formula units
DOS at the Fermi energy = 0.39 states/eV/atom

abc: 6.8510 6.8986 9.7658
angles: 90.00 90.00 90.00
Closest atoms and distances in Å follow each position.
Space group Imma (No. 74)
Symmetry-distinct sites (fractional):
Ca1 0.0000 0.0000 0.0000  6 N 2.49-2.51
Sc1 0.2500 0.2500 0.2500  6 N 2.41-2.44
Pa1 0.0000 0.0000 0.5000  6 N 2.35-2.39
Pa2 0.2500 0.2500 0.7500  6 N 2.45
N1 0.0000 0.0047 0.2550  3 Pa 2.39-2.45, 2 Sc 2.41, 1 Ca 2.49
N2 0.2339 0.2500 0.4995  3 Pa 2.35-2.45, 1 Sc 2.44, 2 Ca 2.51


Sm7Sn2Bi2 after structural relaxation. Source: Alexandria, functional PBE.

Computed properties:
DOS at the Fermi energy = 1.16 states/eV/atom
ΔH_f (0 K) = -34 kJ/mol of atoms

abc: 9.6874 11.4052 6.9592
angles: 90.00 90.00 90.00
Closest atoms and distances in Å follow each position.
Space group Cmmm (No. 65)
Symmetry-distinct sites (fractional):
Sm1 0.0000 0.0000 0.0000  2 Sn 3.13
Sm2 0.0000 0.5000 0.2584  2 Sn 3.14, 1 Sm 3.36, 2 Bi 3.41
Sm3 0.2500 0.2500 0.2690  2 Sn 3.07, 1 Sm 3.22, 2 Bi 3.32
Sn1 0.0000 0.2743 0.0000  7 Sm 3.07-3.14
Bi1 0.1943 0.0000 0.5000  6 Sm 3.32-3.41


AgIrAu2 after structural relaxation. Source: Alexandria, functional PBE.

Computed properties:
DOS at the Fermi energy = 0.69 states/eV/atom
ΔH_f (0 K) = 24 kJ/mol of atoms

abc: 2.8228 2.8228 8.5250
angles: 90.00 90.00 90.00
Closest atoms and distances in Å follow each position.
Space group P4/mmm (No. 123)
Symmetry-distinct sites (fractional):
Ag1 0.0000 0.0000 0.0000  4 Ag 2.82, 8 Au 2.97
Ir1 0.0000 0.0000 0.5000  4 Ir 2.82, 8 Au 2.87
Au1 0.5000 0.5000 0.2583  4 Au 2.82, 4 Ir 2.87, 4 Ag 2.97


Pr2Nd2Pt3 after structural relaxation. Source: Alexandria, functional PBE.

Computed properties:
DOS at the Fermi energy = 0.93 states/eV/atom
ΔH_f (0 K) = -92 kJ/mol of atoms

abc: 9.0680 9.0680 9.0680
angles: 90.00 90.00 90.00
Closest atoms and distances in Å follow each position.
Space group I2_13 (No. 199)
Symmetry-distinct sites (fractional):
Pr1 0.0607 0.0607 0.0607  3 Pt 2.92
Nd1 0.1901 0.3099 0.6901  3 Pt 2.93
Pt1 0.0000 0.2500 0.3776  2 Pr 2.92, 2 Nd 2.93


RbNaPbBr4 after structural relaxation. Source: Alexandria, functional PBE.

Computed properties:
formation energy without anion corrections = -870 kJ/mol of formula units
DOS at the Fermi energy = 0.00 states/eV/atom

abc: 8.0933 8.1555 9.1873
angles: 90.00 104.96 90.00
Closest atoms and distances in Å follow each position.
Space group P2_1/m (No. 11)
Symmetry-distinct sites (fractional):
Rb1 0.1958 0.2500 0.0404  6 Br 3.33-3.64
Na1 0.2876 0.7500 0.3433  4 Br 2.79-2.89
Pb1 0.1863 0.2500 0.5384  4 Br 2.91-3.16
Br1 0.0188 0.5071 0.2855  1 Na 2.89, 1 Pb 3.16
Br2 0.4600 0.2500 0.3854  1 Na 2.79, 1 Pb 2.91
Br3 0.4631 0.2500 0.8186  1 Na 2.80, 1 Pb 2.94